Here is crystalline CoSe2Br at its relaxed geometry from the Alexandria database. Energies are from PBE.

**Energy relative to the elements, uncorrected**: -0.0479 eV per atom
**SG**: No. 9
**Polymorph energy (0 for the lowest one)**: 158 meV per atom

Structure (POSCAR):
```
CoSe2Br
1.0
8.2781 0.0000 0.0000
0.0000 7.4325 0.0000
-1.7985 0.0000 6.4562
Co Se Br
4 8 4
direct
0.0000 0.0833 0.0000
0.0000 0.9167 0.5000
0.5000 0.4167 0.5000
0.5000 0.5833 0.0000
0.1684 0.0680 0.7721
0.1684 0.9320 0.2721
0.3315 0.4328 0.7267
0.3315 0.5672 0.2267
0.6684 0.4320 0.2721
0.6684 0.5680 0.7721
0.8315 0.0672 0.2267
0.8315 0.9328 0.7267
0.4982 0.0999 0.4958
0.4982 0.9001 0.9958
0.9982 0.4001 0.9958
0.9982 0.5999 0.4958
```

Here is crystalline Tb2PaP at its relaxed geometry from the Alexandria database. Energies are from PBE.

**SG**: No. 166
**E_form**: -0.23 eV per atom

Structure (POSCAR):
```
Tb2PaP
1.0
3.5616 0.0000 0.0000
-1.7808 3.0845 0.0000
0.0000 0.0000 30.4624
Tb Pa P
6 3 3
direct
0.0000 0.0000 0.1102
0.0000 0.0000 0.8898
0.3333 0.6667 0.5565
0.3333 0.6667 0.7769
0.6667 0.3333 0.2231
0.6667 0.3333 0.4435
0.0000 0.0000 0.0000
0.3333 0.6667 0.6667
0.6667 0.3333 0.3333
0.0000 0.0000 0.5000
0.3333 0.6667 0.1667
0.6667 0.3333 0.8333
```

Here is crystalline NaRu2PbO8 at its relaxed geometry from the Alexandria database. Energies are from PBE.

**Energy relative to the elements, uncorrected**: -0.9420 eV per atom
**SG**: No. 12

Structure (POSCAR):
```
NaRu2PbO8
1.0
5.5523 -3.2265 0.0000
5.5523 3.2265 0.0000
-1.7530 0.0000 5.7220
Na Ru Pb O
1 2 1 8
direct
0.0000 0.0000 0.0000
0.1962 0.1962 0.6754
0.8038 0.8038 0.3246
0.5000 0.5000 0.5000
0.0956 0.6542 0.2346
0.1502 0.1502 0.3672
0.3458 0.9044 0.7654
0.3629 0.3629 0.7716
0.6371 0.6371 0.2284
0.6542 0.0956 0.2346
0.8498 0.8498 0.6328
0.9044 0.3458 0.7654
```

Here is crystalline CeI3Br at its relaxed geometry from the Alexandria database. Energies are from PBE.

**Energy relative to the elements, uncorrected**: -1.1929 eV per atom
**SG**: No. 12
**Polymorph energy (0 for the lowest one)**: 7 meV per atom

Structure (POSCAR):
```
CeI3Br
1.0
6.2732 -4.8444 0.0000
6.2732 4.8444 0.0000
-5.8003 0.0000 6.4285
Ce I Br
2 6 2
direct
0.2380 0.2380 0.1184
0.7620 0.7620 0.8816
0.0500 0.4275 0.7903
0.4275 0.0500 0.7903
0.4394 0.4394 0.6404
0.5606 0.5606 0.3597
0.5725 0.9500 0.2097
0.9500 0.5725 0.2097
0.0614 0.0614 0.2458
0.9386 0.9386 0.7542
```

Here is crystalline CoMo2W at its relaxed geometry from the Alexandria database. Energies are from PBE.

**SG**: No. 122
**E_form**: 0.76 eV per atom
**Polymorph energy (0 for the lowest one)**: 681 meV per atom

Structure (POSCAR):
```
CoMo2W
1.0
7.0150 0.0000 0.0000
0.0000 7.0150 0.0000
0.0000 0.0000 5.0730
Co Mo W
4 8 4
direct
0.0000 0.0000 0.0000
0.0000 0.5000 0.2500
0.5000 0.0000 0.7500
0.5000 0.5000 0.5000
0.2210 0.2500 0.1250
0.2500 0.7210 0.3750
0.2500 0.7790 0.8750
0.2790 0.2500 0.6250
0.7210 0.7500 0.6250
0.7500 0.2210 0.8750
0.7500 0.2790 0.3750
0.7790 0.7500 0.1250
0.0000 0.0000 0.5000
0.0000 0.5000 0.7500
0.5000 0.0000 0.2500
0.5000 0.5000 0.0000
```

Here is crystalline ErCuSn2 at its relaxed geometry from the Alexandria database. Energies are from PBE.

**SG**: No. 123
**E_form**: -0.34 eV per atom

Structure (POSCAR):
```
ErCuSn2
1.0
4.4996 0.0000 0.0000
0.0000 4.4996 0.0000
0.0000 0.0000 4.3499
Er Cu Sn
1 1 2
direct
0.0000 0.0000 0.0000
0.5000 0.5000 0.0000
0.0000 0.5000 0.5000
0.5000 0.0000 0.5000
```

Here is crystalline TbPm4Bi5 at its relaxed geometry from the Alexandria database. Energies are from PBE.

**SG**: No. 71
**E_form**: -0.93 eV per atom

Structure (POSCAR):
```
TbPm4Bi5
1.0
-2.2824 3.2243 11.3969
2.2824 -3.2243 11.3969
2.2824 3.2243 -11.3969
Tb Pm Bi
1 4 5
direct
0.0000 0.0000 0.0000
0.1990 0.1990 0.0000
0.4000 0.4000 0.0000
0.6000 0.6000 0.0000
0.8010 0.8010 0.0000
0.0979 0.5979 0.5000
0.2996 0.7996 0.5000
0.5000 0.0000 0.5000
0.7004 0.2004 0.5000
0.9021 0.4021 0.5000
```

Here is crystalline Ba2Tl4AgHg3 at its relaxed geometry from the Alexandria database. Energies are from PBE.

**SG**: No. 115
**E_form**: -0.26 eV per atom

Structure (POSCAR):
```
Ba2Tl4AgHg3
1.0
5.0207 0.0000 0.0000
0.0000 5.0207 0.0000
0.0000 0.0000 12.5502
Ba Tl Ag Hg
2 4 1 3
direct
0.0000 0.5000 0.2396
0.5000 0.0000 0.7604
0.0000 0.0000 0.5000
0.0000 0.5000 0.8780
0.5000 0.0000 0.1220
0.5000 0.5000 0.5000
0.5000 0.5000 0.0000
0.0000 0.0000 0.0000
0.0000 0.5000 0.6433
0.5000 0.0000 0.3567
```

Here is crystalline NbAlPt2 at its relaxed geometry from the Alexandria database. Energies are from PBE.

**SG**: No. 122
**E_form**: -0.28 eV per atom

Structure (POSCAR):
```
NbAlPt2
1.0
3.9983 0.0000 0.0000
0.0000 3.9983 0.0000
0.0000 0.0000 17.5733
Nb Al Pt
4 4 8
direct
0.0000 0.0000 0.0000
0.0000 0.5000 0.2500
0.5000 0.0000 0.7500
0.5000 0.5000 0.5000
0.0000 0.0000 0.5000
0.0000 0.5000 0.7500
0.5000 0.0000 0.2500
0.5000 0.5000 0.0000
0.2415 0.2500 0.6250
0.2500 0.7415 0.8750
0.2500 0.7585 0.3750
0.2585 0.2500 0.1250
0.7415 0.7500 0.1250
0.7500 0.2415 0.3750
0.7500 0.2585 0.8750
0.7585 0.7500 0.6250
```

Here is crystalline Ti2CdH at its relaxed geometry from the Alexandria database. Energies are from PBE.

**SG**: No. 160
**Polymorph energy (0 for the lowest one)**: 9 meV per atom

Structure (POSCAR):
```
Ti2CdH
1.0
3.0087 0.0000 0.0000
-1.5043 2.6056 0.0000
0.0000 0.0000 21.8373
Ti Cd H
6 3 3
direct
0.0000 0.0000 0.0000
0.0000 0.0000 0.2274
0.3333 0.6667 0.6667
0.3333 0.6667 0.8940
0.6667 0.3333 0.3333
0.6667 0.3333 0.5607
0.0000 0.0000 0.7802
0.3333 0.6667 0.4469
0.6667 0.3333 0.1136
0.0000 0.0000 0.6141
0.3333 0.6667 0.2808
0.6667 0.3333 0.9475
```

Here is crystalline Dy2ErPa2Ru5 at its relaxed geometry from the Alexandria database. Energies are from PBE.

**SG**: No. 127
**E_form**: -0.32 eV per atom

Structure (POSCAR):
```
Dy2ErPa2Ru5
1.0
10.6053 0.0000 0.0000
0.0000 10.6053 0.0000
0.0000 0.0000 3.6647
Dy Er Pa Ru
4 2 4 10
direct
0.1722 0.3278 0.0000
0.3278 0.8278 0.0000
0.6722 0.1722 0.0000
0.8278 0.6722 0.0000
0.0000 0.0000 0.0000
0.5000 0.5000 0.0000
0.1353 0.6353 0.0000
0.3647 0.1353 0.0000
0.6353 0.8647 0.0000
0.8647 0.3647 0.0000
0.0000 0.5000 0.5000
0.0540 0.7922 0.5000
0.2078 0.0540 0.5000
0.2922 0.5540 0.5000
0.4460 0.2922 0.5000
0.5000 0.0000 0.5000
0.5540 0.7078 0.5000
0.7078 0.4460 0.5000
0.7922 0.9460 0.5000
0.9460 0.2078 0.5000
```

Here is crystalline TaSb2As at its relaxed geometry from the Alexandria database. Energies are from PBE.

**Energy relative to the elements, uncorrected**: -0.0403 eV per atom
**SG**: No. 99

Structure (POSCAR):
```
TaSb2As
1.0
3.3742 0.0000 0.0000
0.0000 3.3742 0.0000
0.0000 0.0000 8.0716
Ta Sb As
1 2 1
direct
0.0000 0.0000 0.0000
0.0000 0.0000 0.3879
0.5000 0.5000 0.7612
0.5000 0.5000 0.1468
```

| no. | total DFT energy (no corrections) (eV/atom) | spin magnetization (μB/atom) |
| --- | --- | --- |
| 1 | -3.985 | 0.00 |
| 2 | -6.275 | 0.06 |
| 3 | -6.212 | 0.24 |
| 4 | -3.644 | 0.03 |
| 5 | -9.674 | 0.00 |
| 6 | -4.502 | 0.00 |
| 7 | -5.232 | 0.00 |
| 8 | -1.962 | 0.00 |
| 9 | -6.757 | 0.00 |
| 10 | -5.120 | 0.13 |
| 11 | -8.238 | 0.00 |
| 12 | -6.227 | 0.00 |